# ThPd2Au | the Alexandria database | PBE | relaxed
# * E: -91.6 eV per cell
# * DFT formation energy: -454 meV per atom
data_ThPd2Au
_space_group_name_H-M_alt 'C m c m'
_space_group_IT_number 63
_space_group_name_Hall '-C 2c 2'
_cell_length_a 3.672
_cell_length_b 22.861
_cell_length_c 4.120
_cell_angle_alpha 90.00
_cell_angle_beta 90.00
_cell_angle_gamma 90.00
loop_
_atom_site_label
_atom_site_fract_x
_atom_site_fract_y
_atom_site_fract_z
_atom_site_occupancy
Th1 0.000 0.151 0.250 1
Pd1 0.000 0.035 0.250 1
Pd2 0.000 0.248 0.750 1
Au1 0.000 0.423 0.250 1